The following is a PBE-GGA calculation of crystalline Y2TlCr2 at its relaxed geometry, from Alexandria via LeMat-Bulk. Values from VASP.

Calculated values
Calculated total energy ... -33.3 eV/f.u.
Energy above the most stable polymorph in this dataset ... 0 meV per atom
Mass density ... 7.3 g cm⁻³

```
&SYSTEM
  ibrav = 0, nat = 5, ntyp = 3
/
ATOMIC_SPECIES
Y 88.91 Y.upf
Tl 204.38 Tl.upf
Cr 52.00 Cr.upf
CELL_PARAMETERS angstrom
-1.6807 1.6807 9.7867
1.6807 -1.6807 9.7867
1.6807 1.6807 -9.7867
ATOMIC_POSITIONS crystal
Y 0.1235 0.1235 0.0000
Y 0.8765 0.8765 0.0000
Tl 0.5000 0.5000 0.0000
Cr 0.2500 0.7500 0.5000
Cr 0.7500 0.2500 0.5000
```